First-principles (GGA-PBE) data for a relaxed NaPuHgF6 crystal, as listed in Alexandria via LeMat-Bulk.

Total energy, eV/atom: -5.73
Density of states at the Fermi level, states/eV/atom: 1.304
ΔE_f (raw), eV per atom: -2.707

a b c (Å): 6.1517 6.1517 10.6323
angles (deg): 90.00 90.00 120.00
With the nearest neighbours (Å) after each atom.
Space group P-31c (No. 163)
Inequivalent atoms, fractional coordinates:
Na 0.3333 0.6667 0.2500 [2 per cell]  6 F 2.38
Pu 0.3333 0.6667 0.7500 [2 per cell]  6 F 2.15
Hg 0.0000 0.0000 0.0000 [2 per cell]  6 F 2.72
F 0.0275 0.3812 0.6421 [12 per cell]  1 Pu 2.15, 1 Na 2.38



First-principles (GGA-PBE) data for a relaxed Rb2NaHg2F6 crystal, as listed in Alexandria via LeMat-Bulk.

Total energy, eV/atom: -3.35
Density of states at the Fermi level, states/eV/atom: 0.387
ΔE_f (raw), eV per atom: -1.978

a b c (Å): 11.3178 6.6831 7.1117
angles (deg): 90.00 119.04 90.00
With the nearest neighbours (Å) after each atom.
Space group C2/m (No. 12)
Inequivalent atoms, fractional coordinates:
Rb 0.2120 0.0000 0.1447 [4 per cell]  5 F 2.76-2.85
Na 0.0000 0.0000 0.5000 [2 per cell]  6 F 2.36-2.40
Hg 0.0682 0.5000 0.2221 [4 per cell]  3 F 2.16-2.29
F 0.0675 0.2444 0.7808 [8 per cell]  1 Hg 2.29, 1 Na 2.40
F 0.2198 0.0000 0.5394 [4 per cell]  1 Hg 2.16, 1 Na 2.36



First-principles (GGA-PBE) data for a relaxed Rb6Na2HgF crystal, as listed in Alexandria via LeMat-Bulk.

Total energy, eV/atom: -1.56
Density of states at the Fermi level, states/eV/atom: 0.910
ΔE_f (raw), eV per atom: -0.501

a b c (Å): 9.2647 9.2892 9.2901
angles (deg): 90.06 119.90 119.90
With the nearest neighbours (Å) after each atom.
Space group P1 (No. 1)
Inequivalent atoms, fractional coordinates:
Rb 0.0000 0.0000 0.0000 [1 per cell]  1 F 2.97
Rb 0.9996 0.0003 0.4522 [1 per cell]  1 F 2.97
Rb 0.0002 0.5482 0.4532 [1 per cell]  1 F 2.97
Rb 0.0005 0.5478 0.0011 [1 per cell]  1 F 2.97
Rb 0.4524 0.9998 0.4523 [1 per cell]  1 F 2.97
Rb 0.5463 0.5475 0.0002 [1 per cell]  1 F 2.98
Na 0.5013 0.0251 0.9768 [1 per cell]  12 Rb 4.64-4.67
Na 0.5015 0.5243 0.4778 [1 per cell]  12 Rb 4.63-4.67
Hg 0.9987 0.2734 0.7259 [1 per cell]  6 Rb 3.59-3.60
F 0.9998 0.7739 0.2265 [1 per cell]  6 Rb 2.97-2.98



First-principles (GGA-PBE) data for a relaxed RbNa2HgF8 crystal, as listed in Alexandria via LeMat-Bulk.

Total energy, eV/atom: -3.35
ΔE_f (raw), eV per atom: -1.776

a b c (Å): 5.0607 5.1943 7.9683
angles (deg): 92.08 94.07 91.15
With the nearest neighbours (Å) after each atom.
Space group P-1 (No. 2)
Inequivalent atoms, fractional coordinates:
Rb 0.0000 0.0000 0.0000 [1 per cell]  6 F 2.78-2.87
Na 0.4902 0.4962 0.7242 [2 per cell]  6 F 2.30-2.42
Hg 0.0000 0.0000 0.5000 [1 per cell]  6 F 2.12-2.14
F 0.1976 0.8143 0.3051 [2 per cell]  1 Hg 2.12, 1 Na 2.30
F 0.2550 0.3251 0.4856 [2 per cell]  1 Hg 2.12, 1 Na 2.31
F 0.2550 0.8708 0.7039 [2 per cell]  1 Hg 2.14, 1 Na 2.31
F 0.3056 0.4702 0.9951 [2 per cell]  1 F 1.98



First-principles (GGA-PBE) data for a relaxed RbNa2HgF6 crystal, as listed in Alexandria via LeMat-Bulk.

Total energy, eV/atom: -3.58
Density of states at the Fermi level, states/eV/atom: 0.431
ΔE_f (raw), eV per atom: -2.066

a b c (Å): 12.3646 8.0938 7.4558
angles (deg): 90.00 106.72 90.00
With the nearest neighbours (Å) after each atom.
Space group C2/c (No. 15)
Inequivalent atoms, fractional coordinates:
Rb 0.0000 0.1732 0.2500 [4 per cell]  4 F 2.71-2.91
Na 0.2391 0.4333 0.0904 [8 per cell]  5 F 2.23-2.40
Hg 0.0000 0.2988 0.7500 [4 per cell]  6 F 2.20-2.30
F 0.1136 0.1312 0.6474 [8 per cell]  1 Hg 2.24, 1 Na 2.32
F 0.1255 0.4980 0.7795 [8 per cell]  1 Hg 2.20, 2 Na 2.33-2.40
F 0.1316 0.2085 0.0180 [8 per cell]  2 Na 2.23-2.30, 1 Hg 2.30



First-principles (GGA-PBE) data for a relaxed Rb3Na2HgF8 crystal, as listed in Alexandria via LeMat-Bulk.

Total energy, eV/atom: -3.72
Density of states at the Fermi level, states/eV/atom: 0.933
ΔE_f (raw), eV per atom: -2.230

a b c (Å): 6.2907 6.2907 8.3432
angles (deg): 90.00 90.00 120.00
With the nearest neighbours (Å) after each atom.
Space group P-3m1 (No. 164)
Inequivalent atoms, fractional coordinates:
Rb 0.0000 0.0000 0.0000 [1 per cell]  12 F 3.32-3.66
Rb 0.3333 0.6667 0.6281 [2 per cell]  1 F 2.61
Na 0.3333 0.6667 0.1941 [2 per cell]  4 F 2.11-2.20
Hg 0.0000 0.0000 0.5000 [1 per cell]  6 F 2.24
F 0.1631 0.3262 0.3367 [6 per cell]  1 Na 2.20, 1 Hg 2.24
F 0.3333 0.6667 0.9412 [2 per cell]  1 Na 2.11